Computed, not measured: a geometry-optimized SrLiPrPb structure at the GGA-PBE level of DFT.

abc: 5.631 5.631 5.631
angles: 60.00 60.00 60.00
Fractional coordinates of all 4 atoms:
1 Sr 0.000 0.000 0.000
2 Li 0.750 0.750 0.750
3 Pr 0.500 0.500 0.500
4 Pb 0.250 0.250 0.250

The calculated density is 5821 kg/m3. The calculation puts the energy of formation from the pure elements at -0.305 eV/atom. As for the space-group type: F-43m, No. 216. As for the calculated total energy: -13.30 eV per cell.